First-principles (PBE-GGA) data for a relaxed LiMg2CF crystal, as listed in the Alexandria database.

Calculated values
The total moment comes out at 0.00 μB/cell. For the uncorrected formation energy, the calculation gives 0.235 eV/atom. The uncorrected energy comes out at -3.00 eV per atom.

Cell: 4.614 4.614 3.362 Å, 90.00 90.00 90.00°
Space group P4/mmm (No. 123)
One atom of each set of equivalent atoms:
1 Li 0.000 0.000 0.000
2 Mg 0.000 0.500 0.000
3 C 0.000 0.000 0.500
4 F 0.500 0.500 0.500